This record from the Alexandria database describes Tb8Ag2Bi after structural relaxation. The functional is PBE-GGA.

Values from the calculation:
energy	-4.362	eV/atom
V	29.74	Å³/atom
space-group type	C2/m
spin magnetization	0.000	μB/atom
N(E_F)	16.3	states/eV per cell

a b c (Å): 5.6466 8.2168 8.2168
angles (deg): 115.79 99.27 99.27
Last column: nearest neighbours and their distance in Å.
Positions (direct):
Tb: 0.1044 0.0848 0.3202  2 Ag 3.03-3.12, 2 Tb 3.28-3.37
Tb: 0.3010 0.5989 0.5989  2 Ag 3.17, 2 Tb 3.22-3.31, 1 Bi 3.34
Tb: 0.8956 0.6798 0.9152  2 Ag 3.03-3.12, 2 Tb 3.28-3.37
Tb: 0.5000 0.7601 0.2399  2 Ag 2.97
Tb: 0.1044 0.3202 0.0848  2 Ag 3.03-3.12, 2 Tb 3.28-3.37
Tb: 0.6990 0.4011 0.4011  2 Ag 3.17, 2 Tb 3.22-3.31, 1 Bi 3.34
Tb: 0.5000 0.2399 0.7601  2 Ag 2.97
Tb: 0.8956 0.9152 0.6798  2 Ag 3.03-3.12, 2 Tb 3.28-3.37
Ag: 0.0000 0.3058 0.6942  8 Tb 2.97-3.17
Ag: 0.0000 0.6942 0.3058  8 Tb 2.97-3.17
Bi: 0.5000 0.0000 0.0000  12 Tb 3.34-3.72

---

This record from the Alexandria database describes Tb4AgBi2 after structural relaxation. The functional is PBE-GGA.

Values from the calculation:
energy	-4.529	eV/atom
V	32.02	Å³/atom
space-group type	C2/m
spin magnetization	0.000	μB/atom
N(E_F)	7.4	states/eV per cell

a b c (Å): 4.2838 7.5182 8.1542
angles (deg): 116.75 105.23 90.00
Last column: nearest neighbours and their distance in Å.
Positions (direct):
Tb: 0.1118 0.7557 0.2236  1 Ag 3.08, 3 Bi 3.14-3.17
Tb: 0.8882 0.2443 0.7764  1 Ag 3.08, 3 Bi 3.14-3.17
Tb: 0.6133 0.3140 0.2266  2 Ag 3.07, 3 Bi 3.11-3.18
Tb: 0.3867 0.6860 0.7734  2 Ag 3.07, 3 Bi 3.11-3.18
Bi: 0.2397 0.2302 0.4793  6 Tb 3.11-3.18, 1 Ag 3.34
Bi: 0.7603 0.7698 0.5207  6 Tb 3.11-3.18, 1 Ag 3.34
Ag: 0.0000 0.0000 0.0000  6 Tb 3.07-3.08, 2 Bi 3.34

---

This record from the Alexandria database describes Tb2AgBi after structural relaxation. The functional is PBE-GGA.

Values from the calculation:
energy	-4.404	eV/atom
V	29.91	Å³/atom
space-group type	R-3m
spin magnetization	0.000	μB/atom
N(E_F)	3.9	states/eV per cell

a b c (Å): 4.4311 4.4311 7.4871
angles (deg): 72.79 72.79 60.00
Last column: nearest neighbours and their distance in Å.
Positions (direct):
Ag: 0.0000 0.0000 0.0000  6 Tb 3.05
Bi: 0.5000 0.5000 0.5000  6 Tb 3.16
Tb: 0.7451 0.7451 0.7648  3 Ag 3.05, 3 Bi 3.16
Tb: 0.2549 0.2549 0.2352  3 Ag 3.05, 3 Bi 3.16

---

This record from the Alexandria database describes TbAgBi2 after structural relaxation. The functional is PBE-GGA.

Values from the calculation:
energy	-4.190	eV/atom
V	26.68	Å³/atom
space-group type	P4/mmm
spin magnetization	0.000	μB/atom
N(E_F)	2.2	states/eV per cell

a b c (Å): 4.3478 4.9543 4.9543
angles (deg): 90.00 90.00 90.00
Last column: nearest neighbours and their distance in Å.
Positions (direct):
Bi: 0.0000 0.0000 0.5000  4 Tb 3.30, 4 Ag 3.30, 4 Bi 3.50
Bi: 0.0000 0.5000 0.0000  4 Tb 3.30, 4 Ag 3.30, 4 Bi 3.50
Ag: 0.5000 0.0000 0.0000  8 Bi 3.30, 4 Tb 3.50
Tb: 0.5000 0.5000 0.5000  8 Bi 3.30, 4 Ag 3.50